Record 1
Material: FeSnOsAu
Method: DFT, PBE
State: optimized geometry

a b c (Å): 6.3824 6.3824 6.3824
angles (deg): 90.00 90.00 90.00
Space group F-43m (No. 216)
Symmetry-distinct sites (fractional):
Fe (0.0000, 0.0000, 0.0000) (multiplicity 4)
Sn (0.2500, 0.2500, 0.7500) (multiplicity 4)
Os (0.0000, 0.0000, 0.5000) (multiplicity 4)
Au (0.2500, 0.2500, 0.2500) (multiplicity 4)

Calculated values
Its total moment is 0.691 μB per atom. The total energy is -100.3 eV per cell. Its crystal system is cubic. As for the energy above the lowest structure with this stoichiometry: 0 meV/atom.

=====

Record 2
Material: AcDyAs
Method: DFT, PBE
State: optimized geometry

a b c (Å): 7.5159 7.5159 7.5159
angles (deg): 90.00 90.00 90.00
Space group F-43m (No. 216)
Symmetry-distinct sites (fractional):
Ac (0.0000, 0.0000, 0.0000) (multiplicity 4)
Dy (0.2500, 0.2500, 0.2500) (multiplicity 4)
As (0.2500, 0.2500, 0.7500) (multiplicity 4)

Calculated values
Its total moment is 0.148 μB per atom. The total energy is -49.0 eV per cell. Its crystal system is cubic. As for the energy above the lowest structure with this stoichiometry: 1006 meV/atom.

=====

Record 3
Material: Tl2Pd2S3
Method: DFT, PBE
State: optimized geometry

a b c (Å): 15.2769 7.9679 6.0869
angles (deg): 90.00 93.80 90.00
Space group C2/c (No. 15)
Symmetry-distinct sites (fractional):
Tl (0.1316, 0.1106, 0.0359) (multiplicity 8)
Pd (0.1071, 0.4912, 0.5203) (multiplicity 8)
S (0.0000, 0.3740, 0.2500) (multiplicity 4)
S (0.2095, 0.4000, 0.2817) (multiplicity 8)

Calculated values
The total energy is -117.5 eV per cell. Its crystal system is monoclinic. As for the energy above the lowest structure with this stoichiometry: 0 meV/atom.

=====

Record 4
Material: HoPIrO
Method: DFT, PBE
State: optimized geometry

a b c (Å): 3.9443 3.9443 7.9708
angles (deg): 90.00 90.00 90.00
Space group P4/nmm (No. 129, origin choice 2)
Symmetry-distinct sites (fractional):
Ho (0.2500, 0.2500, 0.1345) (multiplicity 2)
P (0.2500, 0.2500, 0.6653) (multiplicity 2)
Ir (0.2500, 0.7500, 0.5000) (multiplicity 2)
O (0.2500, 0.7500, 0.0000) (multiplicity 2)

Calculated values
Its total moment is 0.004 μB per atom. The total energy is -63.4 eV per cell. Its crystal system is tetragonal. As for the energy above the lowest structure with this stoichiometry: 0 meV/atom.

=====

Record 5
Material: Nb2Tl3Cu3S8
Method: DFT, PBE
State: optimized geometry

a b c (Å): 19.6155 5.5650 7.3749
angles (deg): 90.00 96.42 90.00
Space group C2 (No. 5)
Symmetry-distinct sites (fractional):
Nb (0.1308, 0.0000, 0.1910) (multiplicity 4)
Tl (0.0000, 0.7403, 0.5000) (multiplicity 2)
Tl (0.1819, 0.2252, 0.7103) (multiplicity 4)
Cu (0.0000, 0.9981, 0.0000) (multiplicity 2)
Cu (0.1255, 0.4997, 0.1801) (multiplicity 4)
S (0.0383, 0.2347, 0.2544) (multiplicity 4)
S (0.0939, 0.7664, 0.9378) (multiplicity 4)
S (0.1642, 0.7413, 0.4297) (multiplicity 4)
S (0.2170, 0.2539, 0.1277) (multiplicity 4)

Calculated values
Its total moment is 0.000 μB per atom. The total energy is -163.3 eV per cell. Its crystal system is monoclinic.

=====

Record 6
Material: NiBTe
Method: DFT, PBE
State: optimized geometry

a b c (Å): 5.8737 5.8737 5.8737
angles (deg): 90.00 90.00 90.00
Space group F-43m (No. 216)
Symmetry-distinct sites (fractional):
Ni (0.0000, 0.0000, 0.0000) (multiplicity 4)
B (0.0000, 0.0000, 0.5000) (multiplicity 4)
Te (0.2500, 0.2500, 0.7500) (multiplicity 4)

Calculated values
Its total moment is 0.000 μB per atom. The total energy is -48.1 eV per cell. Its crystal system is cubic. As for the energy above the lowest structure with this stoichiometry: 390 meV/atom.

=====

Record 7
Material: FeCu2I2
Method: DFT, PBE
State: optimized geometry

a b c (Å): 8.6280 8.6280 3.7304
angles (deg): 90.00 90.00 90.00
Space group P4/mbm (No. 127)
Symmetry-distinct sites (fractional):
Fe (0.0000, 0.0000, 0.0000) (multiplicity 2)
Cu (0.1535, 0.3465, 0.5000) (multiplicity 4)
I (0.1453, 0.6453, 0.5000) (multiplicity 4)

Calculated values
Its total moment is 0.798 μB per atom. The total energy is -29.2 eV per cell. Its crystal system is tetragonal.

=====

Record 8
Material: Lu2CdGe
Method: DFT, PBE
State: optimized geometry

a b c (Å): 7.2913 7.2913 7.2913
angles (deg): 90.00 90.00 90.00
Space group F-43m (No. 216)
Symmetry-distinct sites (fractional):
Lu (0.0000, 0.0000, 0.0000) (multiplicity 4)
Lu (0.2500, 0.2500, 0.2500) (multiplicity 4)
Cd (0.2500, 0.2500, 0.7500) (multiplicity 4)
Ge (0.0000, 0.0000, 0.5000) (multiplicity 4)

Calculated values
Its total moment is 0.001 μB per atom. The total energy is -56.9 eV per cell. Its crystal system is cubic.